The following is a SCAN calculation of a crystal of HfTePCl2 relaxed with PBEsol, from Alexandria.

Values from the calculation:
- electronic total energy (eV/atom) = -25.82

extended XYZ file:
```
5
Lattice="4.7328 0.0000 0.0000 0.0000 4.7328 0.0000 0.0000 0.0000 5.3605" Properties=species:S:1:pos:R:3 pbc="T T T"
Hf 0.0000 0.0000 0.0000
Te 2.3664 2.3664 2.6802
P 0.0000 0.0000 2.6802
Cl 0.0000 2.3664 0.0000
Cl 2.3664 0.0000 0.0000
```

***

The following is a SCAN calculation of a crystal of BeMo3P relaxed with PBEsol, from Alexandria.

Values from the calculation:
- electronic total energy (eV/atom) = -23.00
- formation enthalpy at 0 K (eV/atom) = 0.88

extended XYZ file:
```
5
Lattice="4.3762 0.0000 0.0000 0.0000 4.3762 0.0000 0.0000 0.0000 4.3762" Properties=species:S:1:pos:R:3 pbc="T T T"
Be 0.0000 0.0000 0.0000
Mo 0.0000 2.1881 2.1881
Mo 2.1881 0.0000 2.1881
Mo 2.1881 2.1881 0.0000
P 2.1881 2.1881 2.1881
```

***

Question: Which of these has the highest electronic total energy?
Answer: BeMo3P